Material: Tl2CrCl
Method: DFT, PBE-GGA
State: optimized geometry

Calculated values
As for the energy above the most stable polymorph in this dataset: 171 meV per atom. Its density of states at the Fermi level is 0.47 states/eV per atom. Its crystal system is monoclinic. The value obtained for the energy is -15.84 eV per cell. Its size of the total moment is 4.61 μB per cell.

Cell: 4.9921 3.5721 6.1164 Å, 90.00 101.04 90.00°
Space group P2/m (No. 10)
Unique sites:
Tl: 0.0000 0.0000 0.0000
Tl: 0.5000 0.5000 0.5000
Cr: 0.0000 0.0000 0.5000
Cl: 0.5000 0.5000 0.0000

Material: TbCdAu
Method: DFT, PBE-GGA
State: optimized geometry

Calculated values
Its density of states at the Fermi level is 1.22 states/eV per atom. Its crystal system is cubic. The value obtained for the energy is -41.51 eV per cell. The formation energy is -50 kJ/mol of atoms. Its size of the total moment is 0.01 μB per cell.

Cell: 6.8020 6.8020 6.8020 Å, 90.00 90.00 90.00°
Space group F-43m (No. 216)
Unique sites:
Tb: 0.0000 0.0000 0.0000
Cd: 0.0000 0.0000 0.5000
Au: 0.2500 0.2500 0.7500

Material: SrBiPd3Pb
Method: DFT, PBE-GGA
State: optimized geometry

Calculated values
Its density of states at the Fermi level is 0.53 states/eV per atom. Its crystal system is orthorhombic. The value obtained for the energy is -107.25 eV per cell. The formation energy is -32 kJ/mol of atoms. Its size of the total moment is 0.00 μB per cell.

Cell: 5.8867 18.2918 5.9041 Å, 90.00 90.00 90.00°
Space group Cmcm (No. 63)
Unique sites:
Sr: 0.0000 0.2119 0.2500
Bi: 0.0000 0.1017 0.7500
Pd: 0.0000 0.2511 0.7500
Pd: 0.2478 0.0000 0.0000
Pb: 0.0000 0.3999 0.7500

Material: Pm4TlSnH
Method: DFT, PBE-GGA
State: optimized geometry

Calculated values
Its density of states at the Fermi level is 0.84 states/eV per atom. Its crystal system is orthorhombic. The value obtained for the energy is -128.75 eV per cell. Its size of the total moment is 0.00 μB per cell.

Cell: 6.6078 17.4508 6.5919 Å, 90.00 90.00 90.00°
Space group Cmcm (No. 63)
Unique sites:
Pm: 0.0000 0.0703 0.2500
Pm: 0.0000 0.4281 0.2500
Pm: 0.2500 0.2500 0.0000
Tl: 0.0000 0.1129 0.7500
Sn: 0.0000 0.3872 0.7500
H: 0.0000 0.2073 0.2500

Material: LaZrTl2
Method: DFT, PBE-GGA
State: optimized geometry

Calculated values
Its density of states at the Fermi level is 0.95 states/eV per atom. Its crystal system is tetragonal. The value obtained for the energy is -19.01 eV per cell. The formation energy is -19 kJ/mol of atoms. Its size of the total moment is 0.00 μB per cell.

Cell: 3.4162 3.4162 9.0173 Å, 90.00 90.00 90.00°
Space group P4/mmm (No. 123)
Unique sites:
La: 0.0000 0.0000 0.0000
Zr: 0.0000 0.0000 0.5000
Tl: 0.5000 0.5000 0.2705

Material: CsH3Pt
Method: DFT, PBE-GGA
State: optimized geometry

Calculated values
As for the energy above the most stable polymorph in this dataset: 0 meV per atom. Its density of states at the Fermi level is 0.00 states/eV per atom. Its crystal system is triclinic. The value obtained for the energy is -37.03 eV per cell. Its size of the total moment is 0.00 μB per cell.

Cell: 5.5344 6.1301 6.1325 Å, 117.19 96.99 96.86°
Space group P-1 (No. 2)
Unique sites:
Cs: 0.2502 0.1602 0.3402
H: 0.1319 0.6216 0.3008
H: 0.2492 0.6001 0.9007
H: 0.3675 0.1996 0.8792
Pt: 0.0000 0.5000 0.0000
Pt: 0.5000 0.5000 0.0000

Material: NaMgCd2Ir
Method: DFT, PBE-GGA
State: optimized geometry

Calculated values
Its density of states at the Fermi level is 0.42 states/eV per atom. Its crystal system is tetragonal. The value obtained for the energy is -13.51 eV per cell. The formation energy is 2 kJ/mol of atoms. Its size of the total moment is 0.00 μB per cell.

Cell: 5.2543 5.2543 4.9690 Å, 90.00 90.00 90.00°
Space group P4/mmm (No. 123)
Unique sites:
Na: 0.0000 0.0000 0.0000
Mg: 0.5000 0.5000 0.0000
Cd: 0.0000 0.5000 0.5000
Ir: 0.5000 0.5000 0.5000

Material: LiTeOs2
Method: DFT, PBE-GGA
State: optimized geometry

Calculated values
Its density of states at the Fermi level is 0.84 states/eV per atom. Its crystal system is orthorhombic. The value obtained for the energy is -52.30 eV per cell. Its size of the total moment is 0.00 μB per cell.

Cell: 3.7759 2.8795 12.4306 Å, 90.00 90.00 90.00°
Space group Amm2 (No. 38)
Unique sites:
Li: 0.0000 0.0000 0.0000
Te: 0.5000 0.0000 0.3882
Os: 0.0000 0.0000 0.2078
Os: 0.5000 0.0000 0.6217

Material: Be2Mo2Os
Method: DFT, PBE-GGA
State: optimized geometry

Calculated values
As for the energy above the most stable polymorph in this dataset: 0 meV per atom. Its density of states at the Fermi level is 0.81 states/eV per atom. Its crystal system is tetragonal. The value obtained for the energy is -82.41 eV per cell. The formation energy is -17 kJ/mol of atoms. Its size of the total moment is 0.00 μB per cell.

Cell: 6.2126 6.2126 3.1407 Å, 90.00 90.00 90.00°
Space group P4/mbm (No. 127)
Unique sites:
Be: 0.1209 0.3791 0.0000
Mo: 0.1728 0.6728 0.5000
Os: 0.0000 0.0000 0.0000

Material: ScCd2In
Method: DFT, PBE-GGA
State: optimized geometry

Calculated values
Its density of states at the Fermi level is 0.68 states/eV per atom. Its crystal system is monoclinic. The value obtained for the energy is -22.76 eV per cell. The formation energy is -12 kJ/mol of atoms. Its size of the total moment is 0.00 μB per cell.

Cell: 10.1055 3.3193 5.6259 Å, 90.00 101.97 90.00°
Space group Cm (No. 8)
Unique sites:
Sc: 0.0000 0.0000 0.0000
Cd: 0.9999 0.5000 0.4897
Cd: 0.2504 0.5000 0.2573
In: 0.2483 0.0000 0.7596

Material: InP
Method: DFT, PBE-GGA
State: optimized geometry

Calculated values
Its density of states at the Fermi level is 0.38 states/eV per atom. Its crystal system is orthorhombic. The value obtained for the energy is -32.03 eV per cell. The formation energy is 7 kJ/mol of atoms. Its size of the total moment is 0.00 μB per cell.

Cell: 5.7344 9.6399 3.2503 Å, 90.00 90.00 90.00°
Space group Cmcm (No. 63)
Unique sites:
In: 0.0000 0.1481 0.2500
P: 0.0000 0.4213 0.7500

Material: TlIn2Sb
Method: DFT, PBE-GGA
State: optimized geometry

Calculated values
As for the energy above the most stable polymorph in this dataset: 25 meV per atom. Its density of states at the Fermi level is 0.45 states/eV per atom. Its crystal system is orthorhombic. The value obtained for the energy is -23.57 eV per cell. Its size of the total moment is 0.00 μB per cell.

Cell: 3.5523 5.6669 11.6199 Å, 90.00 90.00 90.00°
Space group Immm (No. 71)
Unique sites:
Tl: 0.0000 0.0000 0.0000
In: 0.0000 0.5000 0.2322
Sb: 0.0000 0.0000 0.5000